This record from OQMD via LeMat-Bulk describes a relaxed structure of Zn5CoBi3. The functional is GGA-PBE.

```
Zn5CoBi3
1.0
7.158 0.000 0.000
-3.579 6.199 0.000
0.000 0.000 4.073
Bi Co Zn
3 1 5
Direct
0.631 0.000 0.000
0.369 0.369 0.000
0.000 0.631 0.000
0.000 0.000 0.000
0.225 0.000 0.500
0.000 0.225 0.500
0.667 0.333 0.500
0.333 0.667 0.500
0.775 0.775 0.500
```

Calculated values
E ... -24.6 eV/cell
Symmetry ... P-62m